Here is an optimized crystal structure of Pm5Dy2Ho6 from Alexandria via LeMat-Bulk. Energies are from PBE.

POSCAR file:
```
Pm5Dy2Ho6
1.0
3.5863 0.0000 0.0000
0.0000 11.6335 0.0000
0.0000 0.0000 20.4761
Pm Dy Ho
10 4 12
Direct
0.5000 0.3014 0.4498 Pm
0.5000 0.6986 0.5502 Pm
0.5000 0.8014 0.0502 Pm
0.5000 0.1986 0.9498 Pm
0.5000 0.5846 0.2728 Pm
0.5000 0.4154 0.7272 Pm
0.5000 0.0846 0.2272 Pm
0.5000 0.9154 0.7728 Pm
0.5000 0.5000 0.0000 Pm
0.5000 0.0000 0.5000 Pm
0.0000 0.3293 0.2897 Dy
0.0000 0.6707 0.7103 Dy
0.0000 0.8293 0.2103 Dy
0.0000 0.1707 0.7897 Dy
0.0000 0.0811 0.3687 Ho
0.0000 0.9189 0.6313 Ho
0.0000 0.5811 0.1313 Ho
0.0000 0.4189 0.8687 Ho
0.5000 0.3253 0.1378 Ho
0.5000 0.6747 0.8622 Ho
0.5000 0.8253 0.3622 Ho
0.5000 0.1747 0.6378 Ho
0.0000 0.5611 0.4188 Ho
0.0000 0.4389 0.5812 Ho
0.0000 0.0611 0.0812 Ho
0.0000 0.9389 0.9188 Ho
```

Properties
- Space group: Pbam, No. 55
- Calculated total energy: -4.5539 eV per atom
- E_form: 0.09 eV/atom
- ρ: 7.9 g/cm3